Record 1
Material: LaGe3Rh3
Method: DFT, PBE
State: optimized geometry

Space-group type: No. 223
Energy of formation, meV per atom: -416
Volume, Å³/cell: 304
Distance to the lowest polymorph of the same formula, meV/atom: 101

Cell lengths 6.724, 6.724, 6.724 Å; angles 90.00, 90.00, 90.00 degrees
Fractional coordinates of all 14 atoms:
La1 0.000 0.000 0.000
La2 0.500 0.500 0.500
Ge1 0.000 0.250 0.500
Ge2 0.000 0.750 0.500
Ge3 0.250 0.500 0.000
Ge4 0.500 0.000 0.250
Ge5 0.500 0.000 0.750
Ge6 0.750 0.500 0.000
Rh1 0.000 0.500 0.250
Rh2 0.000 0.500 0.750
Rh3 0.250 0.000 0.500
Rh4 0.500 0.250 0.000
Rh5 0.500 0.750 0.000
Rh6 0.750 0.000 0.500

Record 2
Material: Hf2ZnF
Method: DFT, PBE
State: optimized geometry

Space-group type: No. 225
Raw formation energy, kJ/mol of formula units: -193
Volume, Å³/cell: 67
Distance to the lowest polymorph of the same formula, meV/atom: 0

Cell lengths 4.564, 4.564, 4.564 Å; angles 60.00, 60.00, 60.00 degrees
Fractional coordinates of all 4 atoms:
Hf1 0.250 0.250 0.250
Hf2 0.750 0.750 0.750
Zn1 0.000 0.000 0.000
F1 0.500 0.500 0.500

Record 3
Material: MgPaCdO6
Method: DFT, PBE
State: optimized geometry

Space-group type: No. 149
Raw formation energy, kJ/mol of formula units: -1629
Volume, Å³/cell: 123

Cell lengths 5.498, 5.498, 4.705 Å; angles 90.00, 90.00, 120.00 degrees
Fractional coordinates of all 9 atoms:
Mg1 0.000 0.000 0.000
Pa1 0.333 0.667 0.500
Cd1 0.667 0.333 0.000
O1 0.018 0.330 0.758
O2 0.018 0.688 0.242
O3 0.312 0.330 0.242
O4 0.312 0.982 0.758
O5 0.670 0.688 0.758
O6 0.670 0.982 0.242

Record 4
Material: KBi3Sb3
Method: DFT, PBE
State: optimized geometry

Space-group type: No. 176
Raw formation energy, kJ/mol of formula units: -2
Volume, Å³/cell: 600
Distance to the lowest polymorph of the same formula, meV/atom: 0

Cell lengths 10.608, 10.608, 6.152 Å; angles 90.00, 90.00, 120.00 degrees
Fractional coordinates of all 14 atoms:
K1 0.333 0.667 0.250
K2 0.667 0.333 0.750
Bi1 0.054 0.374 0.750
Bi2 0.319 0.946 0.750
Bi3 0.374 0.319 0.250
Bi4 0.626 0.681 0.750
Bi5 0.681 0.054 0.250
Bi6 0.946 0.626 0.250
Sb1 0.042 0.653 0.750
Sb2 0.347 0.390 0.750
Sb3 0.390 0.042 0.250
Sb4 0.610 0.958 0.750
Sb5 0.653 0.610 0.250
Sb6 0.958 0.347 0.250

Record 5
Material: CrC2
Method: DFT, PBE
State: optimized geometry

Space-group type: No. 63
Energy of formation, meV per atom: 863
Volume, Å³/cell: 51
Distance to the lowest polymorph of the same formula, meV/atom: 368

Cell lengths 4.479, 4.479, 4.626 Å; angles 90.00, 90.00, 146.83 degrees
Fractional coordinates of all 6 atoms:
Cr1 0.143 0.857 0.750
Cr2 0.857 0.143 0.250
C1 0.147 0.853 0.250
C2 0.435 0.565 0.750
C3 0.565 0.435 0.250
C4 0.853 0.147 0.750

Record 6
Material: Cd3NiPb
Method: DFT, PBE
State: optimized geometry

Space-group type: No. 221
Energy of formation, meV per atom: 1066
Volume, Å³/cell: 181
Distance to the lowest polymorph of the same formula, meV/atom: 893

Cell lengths 5.653, 5.653, 5.653 Å; angles 90.00, 90.00, 90.00 degrees
Fractional coordinates of all 5 atoms:
Cd1 0.000 0.000 0.500
Cd2 0.000 0.500 0.000
Cd3 0.500 0.000 0.000
Ni1 0.500 0.500 0.500
Pb1 0.000 0.000 0.000

Which value of volume does entry 6 give?
181 Å³/cell